Record 1
Here is an optimized crystal structure of SrNiHg2Ge from Alexandria. Energies are from GGA-PBEsol.

extended XYZ file:
```
5
Lattice="4.893 0.000 0.000 0.000 4.893 0.000 0.000 0.000 5.182" Properties=species:S:1:pos:R:3 pbc="T T T"
Ni 0.000 0.000 0.000
Sr 0.000 0.000 2.591
Ge 2.447 2.447 2.591
Hg 2.447 0.000 0.000
Hg 0.000 2.447 0.000
```

Calculated values
The energy is -2.67 eV per atom. As for the energy of formation from the pure elements: 144 meV/atom.



Record 2
Here is an optimized crystal structure of KYSn from Alexandria. Energies are from GGA-PBEsol.

extended XYZ file:
```
3
Lattice="-4.613 0.945 -2.226 -1.479 -2.724 -4.186 -3.844 -3.492 0.390" Properties=species:S:1:pos:R:3 pbc="T T T"
K 0.000 0.000 0.000
Sn -4.968 -2.636 -3.010
Y -7.452 -3.954 -4.516
```

Calculated values
The energy is -3.99 eV per atom. As for the energy of formation from the pure elements: 83 meV/atom.



Record 3
Here is an optimized crystal structure of ZrAs2Rh from Alexandria. Energies are from GGA-PBEsol.

extended XYZ file:
```
4
Lattice="3.530 0.000 0.000 0.000 3.530 0.000 0.000 0.000 5.483" Properties=species:S:1:pos:R:3 pbc="T T T"
Rh 0.000 0.000 2.419
As 1.765 1.765 1.667
As 0.000 0.000 5.271
Zr 1.765 1.765 4.351
```

Calculated values
The energy is -7.54 eV per atom. As for the energy of formation from the pure elements: -684 meV/atom.



Record 4
Here is an optimized crystal structure of HfI3O from Alexandria. Energies are from GGA-PBEsol.

extended XYZ file:
```
5
Lattice="4.937 0.000 0.000 0.000 4.937 0.000 0.000 0.000 4.937" Properties=species:S:1:pos:R:3 pbc="T T T"
Hf 2.469 2.469 2.469
I 2.469 0.000 0.000
I 0.000 0.000 2.469
I 0.000 2.469 0.000
O 0.000 0.000 0.000
```

Calculated values
The energy is -3.65 eV per atom. The formation energy (no corrections) is 0.556 eV/atom.